(1)
PBE RbPmZnCl6, relaxed; uncorrected formation energy = -1.820 eV per atom; space-group type = P-31c, No. 163; DOS(E_F) = 0.00 states/eV per cell; crystal system = trigonal
1.0
-3.820 1.972 -5.349
-3.020 -1.834 5.883
0.637 13.765 4.619
Rb Pm Zn Cl
2 2 2 12
Direct
0.000 0.000 0.000
0.000 0.000 0.500
0.333 0.667 0.250
0.667 0.333 0.750
0.667 0.333 0.250
0.333 0.667 0.750
0.636 0.612 0.148
0.975 0.364 0.148
0.364 0.975 0.648
0.025 0.636 0.852
0.388 0.364 0.352
0.975 0.612 0.352
0.612 0.975 0.852
0.636 0.025 0.352
0.025 0.388 0.648
0.388 0.025 0.148
0.612 0.636 0.648
0.364 0.388 0.852

(2)
PBE Mg3BePt, relaxed; energy of formation = 0.240 eV per atom; distance to the lowest polymorph of the same formula = 0 kJ/mol of formula units; space-group type = Pm-3m, No. 221; DOS(E_F) = 1.82 states/eV per cell; crystal system = cubic
1.0
4.968 0.000 0.000
0.000 4.968 0.000
0.000 0.000 4.968
Be Mg Pt
1 3 1
Direct
0.500 0.500 0.500
0.000 0.500 0.000
0.000 0.000 0.500
0.500 0.000 0.000
0.000 0.000 0.000

(3)
PBE Tl5SbS4, relaxed; uncorrected formation energy = -0.320 eV per atom; space-group type = C2/m, No. 12; DOS(E_F) = 0.16 states/eV per cell; crystal system = monoclinic
1.0
4.108 0.000 0.000
0.000 8.363 -0.811
-2.054 -2.051 8.944
Tl Sb S
5 1 4
Direct
0.814 0.690 0.629
0.842 0.197 0.683
0.158 0.803 0.317
0.500 0.500 0.000
0.186 0.310 0.371
0.500 0.000 0.000
0.343 0.956 0.686
0.979 0.764 0.958
0.657 0.044 0.314
0.021 0.236 0.042

(4)
PBE MgAgAs2, relaxed; energy of formation = -0.021 eV per atom; space-group type = Pmmm, No. 47; DOS(E_F) = 1.46 states/eV per cell; crystal system = orthorhombic
1.0
4.035 0.000 0.000
0.000 4.755 0.000
0.000 0.000 4.021
Ag As Mg
1 2 1
Direct
0.000 0.500 0.500
0.000 0.000 0.000
0.500 0.500 0.000
0.500 0.000 0.500

(5)
PBE NaCaYIn, relaxed; energy of formation = -0.182 eV per atom; space-group type = F-43m, No. 216; DOS(E_F) = 3.47 states/eV per cell; crystal system = cubic
1.0
-0.758 -3.819 -3.863
4.012 -1.128 -3.566
2.676 -4.778 0.305
Y Na Ca In
1 1 1 1
Direct
0.750 0.750 0.750
0.000 0.000 0.000
0.250 0.250 0.250
0.500 0.500 0.500

(6)
PBE Ac2AlGeS6, relaxed; uncorrected formation energy = -1.373 eV per atom; space-group type = P2_1/c, No. 14; DOS(E_F) = 9.03 states/eV per cell; crystal system = monoclinic
1.0
6.599 0.001 -0.019
0.001 7.170 0.000
0.031 -0.001 9.627
Ac Al Ge S
4 2 2 12
Direct
0.029 0.908 0.249
0.529 0.592 0.749
0.971 0.092 0.751
0.471 0.408 0.251
0.500 0.000 0.500
0.000 0.500 0.000
0.500 0.000 0.000
0.000 0.500 0.500
0.301 0.683 0.042
0.801 0.817 0.542
0.699 0.317 0.958
0.199 0.183 0.458
0.312 0.696 0.457
0.812 0.804 0.956
0.688 0.304 0.543
0.188 0.196 0.044
0.914 0.502 0.244
0.413 0.998 0.744
0.086 0.498 0.756
0.587 0.002 0.256

(7)
PBE ReMo2Pt2, relaxed; energy of formation = 0.175 eV per atom; space-group type = P-1, No. 2; DOS(E_F) = 4.10 states/eV per cell; crystal system = triclinic
1.0
-3.999 2.085 -0.689
-3.489 -2.815 0.880
-1.603 1.168 4.134
Re Mo Pt
1 2 2
Direct
0.000 0.500 0.000
0.684 0.181 0.905
0.316 0.819 0.095
0.258 0.245 0.499
0.742 0.755 0.501

(8)
PBE VGe2Au, relaxed; energy of formation = 0.091 eV per atom; distance to the lowest polymorph of the same formula = 36 kJ/mol of formula units; space-group type = P4/mmm, No. 123; DOS(E_F) = 3.08 states/eV per cell; crystal system = tetragonal
1.0
3.407 0.000 0.000
0.000 4.352 0.000
0.000 0.000 4.352
Ge Au V
2 1 1
Direct
0.000 0.000 0.500
0.000 0.500 0.000
0.500 0.500 0.500
0.500 0.000 0.000

(9)
PBE TbHo5, relaxed; energy of formation = 0.005 eV per atom; distance to the lowest polymorph of the same formula = 0 kJ/mol of formula units; space-group type = Cm, No. 8; DOS(E_F) = 10.24 states/eV per cell; crystal system = monoclinic
1.0
3.604 0.000 0.000
-1.802 6.144 -1.816
0.000 0.545 8.353
Tb Ho
1 5
Direct
0.722 0.444 0.944
0.000 0.000 0.001
0.667 0.333 0.334
0.334 0.668 0.666
0.389 0.778 0.279
0.056 0.111 0.611

(10)
PBE KCdBi4, relaxed; energy of formation = -0.010 eV per atom; space-group type = F-43m, No. 216; DOS(E_F) = 4.97 states/eV per cell; crystal system = cubic
1.0
-2.785 -1.179 -5.998
-6.044 -2.904 -0.384
-5.325 3.577 -1.992
K Bi Cd
1 4 1
Direct
0.000 0.000 0.000
0.622 0.622 0.133
0.622 0.133 0.622
0.622 0.622 0.622
0.133 0.622 0.622
0.250 0.250 0.250

no.,ρ (g cm⁻³),size of the total moment (μB/f.u.)
1,2.85,0.00
2,3.75,0.00
3,7.03,0.00
4,6.07,0.00
5,3.80,0.00
6,5.44,0.00
7,15.24,0.00
8,10.12,0.49
9,8.66,0.00
10,7.65,0.00